Here is a relaxed Ac4Tl2TeP crystal from Alexandria. Energies are from PBE.

The raw formation energy is -0.86 eV per atom.

The space group is P2/m (No. 10) and the conventional cell measures 7.852, 4.453 and 8.845 Å, with angles of 90.00, 106.47 and 90.00 degrees. The distinct sites, in fractional coordinates, are Ac at (0.221, 0.000, 0.218), Ac at (0.238, 0.500, 0.767), Tl at (0.000, 0.000, 0.500), Tl at (0.500, 0.500, 0.500), Te at (0.500, 0.000, 0.000) and P at (0.000, 0.500, 0.000).

Here is a relaxed Ac4TlTe2P crystal from Alexandria. Energies are from PBE.

The raw formation energy is -1.20 eV per atom.

The space group is P2/m (No. 10) and the conventional cell measures 8.169, 4.596 and 8.246 Å, with angles of 90.00, 108.55 and 90.00 degrees. The distinct sites, in fractional coordinates, are Ac at (0.230, 0.000, 0.223), Ac at (0.245, 0.500, 0.764), Tl at (0.500, 0.000, 0.000), Te at (0.000, 0.000, 0.500), Te at (0.500, 0.500, 0.500) and P at (0.000, 0.500, 0.000).

Here is a relaxed AcYTeP crystal from Alexandria. Energies are from PBE.

The raw formation energy is -1.48 eV per atom.

The space group is R3m (No. 160, hexagonal axes) and the conventional cell measures 4.2582, 4.2582 and 23.0548 Å, with angles of 90.00, 90.00 and 120.00 degrees. The distinct sites, in fractional coordinates, are Ac at (0.0000, 0.0000, 0.0000), Y at (0.0000, 0.0000, 0.1927), Te at (0.0000, 0.0000, 0.4363) and P at (0.0000, 0.0000, 0.5901).

Here is a relaxed Ac4ThP5 crystal from Alexandria. Energies are from PBE.

The formation energy comes out at -1.482 eV/atom.

The space group is I4/m (No. 87) and the conventional cell measures 9.788, 9.788 and 6.193 Å, with angles of 90.00, 90.00 and 90.00 degrees. The distinct sites, in fractional coordinates, are Ac at (0.098, 0.300, 0.000), Th at (0.000, 0.000, 0.500), P at (0.000, 0.000, 0.000) and P at (0.095, 0.286, 0.500).

Here is a relaxed AcTh2P crystal from Alexandria. Energies are from PBE.

The formation energy comes out at -0.580 eV/atom.

The space group is R3m (No. 160, hexagonal axes) and the conventional cell measures 3.9371, 3.9371 and 29.2575 Å, with angles of 90.00, 90.00 and 120.00 degrees. The distinct sites, in fractional coordinates, are Ac at (0.0000, 0.0000, 0.0000), Th at (0.0000, 0.0000, 0.2267), Th at (0.0000, 0.0000, 0.4421) and P at (0.0000, 0.0000, 0.8340).

Here is a relaxed AcTh3P4 crystal from Alexandria. Energies are from PBE.

The formation energy comes out at -1.515 eV/atom.

The space group is P6_3/mmc (No. 194) and the conventional cell measures 4.1938, 4.1938 and 27.6655 Å, with angles of 90.00, 90.00 and 120.00 degrees. The distinct sites, in fractional coordinates, are Ac at (0.3333, 0.6667, 0.2500), Th at (0.0000, 0.0000, 0.0000), Th at (0.3333, 0.6667, 0.6203), P at (0.0000, 0.0000, 0.1796) and P at (0.3333, 0.6667, 0.0604).

Here is a relaxed AcTh2P4 crystal from Alexandria. Energies are from PBE.

The formation energy comes out at -1.147 eV/atom.

The space group is Cmcm (No. 63) and the conventional cell measures 4.315, 14.192 and 12.117 Å, with angles of 90.00, 90.00 and 90.00 degrees. The distinct sites, in fractional coordinates, are Ac at (0.000, 0.098, 0.250), Th at (0.000, 0.366, 0.058), P at (0.000, 0.000, 0.000), P at (0.000, 0.259, 0.651) and P at (0.000, 0.458, 0.250).

Here is a relaxed Ac3ThP4 crystal from Alexandria. Energies are from PBE.

The formation energy comes out at -1.487 eV/atom.

The space group is Cmmm (No. 65) and the conventional cell measures 8.737, 12.329 and 4.353 Å, with angles of 90.00, 90.00 and 90.00 degrees. The distinct sites, in fractional coordinates, are Ac at (0.000, 0.000, 0.000), Ac at (0.250, 0.250, 0.500), Th at (0.000, 0.500, 0.000), P at (0.000, 0.259, 0.000) and P at (0.235, 0.500, 0.500).

Here is a relaxed AcTh2P crystal from Alexandria. Energies are from PBE.

The formation energy comes out at -0.399 eV/atom.

The space group is R-3m (No. 166, hexagonal axes) and the conventional cell measures 3.8625, 3.8625 and 32.4889 Å, with angles of 90.00, 90.00 and 120.00 degrees. The distinct sites, in fractional coordinates, are Ac at (0.0000, 0.0000, 0.0000), Th at (0.0000, 0.0000, 0.1140) and P at (0.0000, 0.0000, 0.5000).

Here is a relaxed AcTm2ThP4 crystal from Alexandria. Energies are from PBE.

The formation energy comes out at -1.525 eV/atom.

The space group is P2/m (No. 10) and the conventional cell measures 7.097, 4.123 and 7.164 Å, with angles of 90.00, 109.46 and 90.00 degrees. The distinct sites, in fractional coordinates, are Ac at (0.000, 0.000, 0.000), Tm at (0.500, 0.000, 0.500), Tm at (0.500, 0.500, 0.000), Th at (0.000, 0.500, 0.500), P at (0.265, 0.000, 0.747) and P at (0.271, 0.500, 0.267).

Here is a relaxed Ac4TmTh3P8 crystal from Alexandria. Energies are from PBE.

The formation energy comes out at -1.507 eV/atom.

The space group is R-3m (No. 166, hexagonal axes) and the conventional cell measures 8.4935, 8.4935 and 21.0641 Å, with angles of 90.00, 90.00 and 120.00 degrees. The distinct sites, in fractional coordinates, are Ac at (0.0000, 0.0000, 0.0000), Ac at (0.0000, 0.5000, 0.0000), Tm at (0.0000, 0.0000, 0.5000), Th at (0.0000, 0.5000, 0.5000), P at (0.0000, 0.0000, 0.2431) and P at (0.0036, 0.5018, 0.2423).

Here is a relaxed Ac4Th3UP8 crystal from Alexandria. Energies are from PBE.

The formation energy comes out at -1.413 eV/atom.

The space group is R-3m (No. 166, hexagonal axes) and the conventional cell measures 8.4852, 8.4852 and 21.0531 Å, with angles of 90.00, 90.00 and 120.00 degrees. The distinct sites, in fractional coordinates, are Ac at (0.0000, 0.0000, 0.0000), Ac at (0.0000, 0.5000, 0.0000), Th at (0.0000, 0.5000, 0.5000), U at (0.0000, 0.0000, 0.5000), P at (0.0000, 0.0000, 0.2430) and P at (0.0072, 0.5036, 0.2415).

| no. | ρ (g/cm³) |
| --- | --- |
| 1 | 8.26 |
| 2 | 7.91 |
| 3 | 6.53 |
| 4 | 7.25 |
| 5 | 9.16 |
| 6 | 8.25 |
| 7 | 7.30 |
| 8 | 7.34 |
| 9 | 8.57 |
| 10 | 7.74 |
| 11 | 7.65 |
| 12 | 7.93 |